{"formula": "ZrBeInIr", "functional": "PBE", "state": "relaxed", "lattice": [[0.000, 3.208, 3.208], [3.208, 0.000, 3.208], [3.208, 3.208, 0.000]], "species": ["Ir", "In", "Be", "Zr"], "frac_coords": [[0.500, 0.500, 0.500], [0.250, 0.250, 0.250], [0.750, 0.750, 0.750], [0.000, 0.000, 0.000]], "m_tot_mub_per_cell": 0.00, "dft_energy_ev_per_cell": -24.31, "polymorph_energy_mev_per_atom": 224.8, "spacegroup": "F-43m"}